Material: ScNbSCl2
Method: DFT, PBE
State: optimized geometry

## Properties
Formation energy (no corrections): -2.13 eV per formula unit
Magnetization: 2.5 μB/cell
DFT total energy: -5.270 eV/atom
Volume: 116.55 Å³/cell
Density: 3.43 g/cm3

Unit cell a=4.8984 b=4.8984 c=4.8572 alpha=90.00 beta=90.00 gamma=90.00
Last column: magnetic moment on the atom in μB.
Fractional positions:
Cl1 0.0000 0.5000 0.0000  0.02
Cl2 0.5000 0.0000 0.0000  0.02
Sc1 0.5000 0.5000 0.5000  1.03
Nb1 0.0000 0.0000 0.0000  0.83
S1 0.0000 0.0000 0.5000  -0.04

=====

Material: ScNbSCl2
Method: DFT, PBE
State: optimized geometry

## Properties
Formation energy (no corrections): -2.25 eV per formula unit
Magnetization: 3.9 μB/cell
DFT total energy: -5.295 eV/atom
Volume: 120.00 Å³/cell
Density: 3.33 g/cm3

Unit cell a=4.8587 b=4.8587 c=5.0830 alpha=90.00 beta=90.00 gamma=90.00
Last column: magnetic moment on the atom in μB.
Fractional positions:
S1 0.0000 0.0000 0.5000  -0.06
Cl1 0.0000 0.5000 0.0000  0.02
Cl2 0.5000 0.0000 0.0000  0.02
Sc1 0.0000 0.0000 0.0000  0.08
Nb1 0.5000 0.5000 0.5000  2.97

=====

What is the formation energy (no corrections) in the first record? -2.13 eV per formula unit

=====

What is the formula in the first record? ScNbSCl2

=====

Which of these has the lowest magnetization? number 1